Y8Ga3S3N | PBE | relaxed

Cell and atoms, written as CIF:
```
data_Y8Ga3S3N
_chemical_formula_sum 'Y24 Ga9 S9 N3'
_symmetry_space_group_name_H-M 'R -3 m'
_symmetry_Int_Tables_number 166
_symmetry_space_group_name_Hall '-R 3 2"'
_cell_length_a 7.6456
_cell_length_b 7.6456
_cell_length_c 21.3444
_cell_angle_alpha 90.00
_cell_angle_beta 90.00
_cell_angle_gamma 120.00
loop_
_atom_site_label
_atom_site_fract_x
_atom_site_fract_y
_atom_site_fract_z
Y1 0.0000 0.0000 0.2434
Y2 0.0297 0.5149 0.2363
Ga1 0.0000 0.5000 0.0000
S1 0.0000 0.5000 0.5000
N1 0.0000 0.0000 0.5000
```

Results
**Formation energy without anion corrections**: -1.20 eV per atom

***

CrGeSe2 | PBE | relaxed

Cell and atoms, written as CIF:
```
data_CrGeSe2
_chemical_formula_sum 'Cr4 Ge4 Se8'
_symmetry_space_group_name_H-M 'I -4 2 d'
_symmetry_Int_Tables_number 122
_symmetry_space_group_name_Hall 'I -4 2bw'
_cell_length_a 5.973
_cell_length_b 5.973
_cell_length_c 12.086
_cell_angle_alpha 90.00
_cell_angle_beta 90.00
_cell_angle_gamma 90.00
loop_
_atom_site_label
_atom_site_fract_x
_atom_site_fract_y
_atom_site_fract_z
Cr1 0.000 0.000 0.000
Ge1 0.000 0.000 0.500
Se1 0.222 0.250 0.125
```

Results
**Formation energy without anion corrections**: -0.07 eV per atom

***

CdGe3Rh | PBE | relaxed

Cell and atoms, written as CIF:
```
data_CdGe3Rh
_chemical_formula_sum 'Cd1 Ge3 Rh1'
_symmetry_space_group_name_H-M 'P m -3 m'
_symmetry_Int_Tables_number 221
_symmetry_space_group_name_Hall '-P 4 2 3'
_cell_length_a 4.840
_cell_length_b 4.840
_cell_length_c 4.840
_cell_angle_alpha 90.00
_cell_angle_beta 90.00
_cell_angle_gamma 90.00
loop_
_atom_site_label
_atom_site_fract_x
_atom_site_fract_y
_atom_site_fract_z
Cd1 0.000 0.000 0.000
Ge1 0.000 0.500 0.500
Rh1 0.500 0.500 0.500
```

Results
**Relative energy among the computed polymorphs**: 0.000 eV per atom

***

Th2CuP3Ir4 | PBE | relaxed

Cell and atoms, written as CIF:
```
data_Th2CuP3Ir4
_chemical_formula_sum 'Th2 Cu1 P3 Ir4'
_symmetry_space_group_name_H-M 'P -4 m 2'
_symmetry_Int_Tables_number 115
_cell_length_a 4.103
_cell_length_b 4.103
_cell_length_c 10.094
_cell_angle_alpha 90.00
_cell_angle_beta 90.00
_cell_angle_gamma 90.00
loop_
_symmetry_equiv_pos_as_xyz
'x,y,z'
'y,-x,-z'
'-x,-y,z'
'-y,x,-z'
'-x,y,z'
'-y,-x,-z'
'x,-y,z'
'y,x,-z'
loop_
_atom_site_label
_atom_site_fract_x
_atom_site_fract_y
_atom_site_fract_z
Th1 0.000 0.500 0.246
Cu1 0.500 0.500 0.000
P1 0.000 0.000 0.000
P2 0.000 0.500 0.637
Ir1 0.000 0.000 0.500
Ir2 0.000 0.500 0.865
Ir3 0.500 0.500 0.500
```

***

DyHo2ErSc4 | PBE | relaxed

Cell and atoms, written as CIF:
```
data_DyHo2ErSc4
_chemical_formula_sum 'Dy4 Ho8 Er4 Sc16'
_symmetry_space_group_name_H-M 'I m m a'
_symmetry_Int_Tables_number 74
_symmetry_space_group_name_Hall '-I 2b 2'
_cell_length_a 6.496
_cell_length_b 11.229
_cell_length_c 12.648
_cell_angle_alpha 90.00
_cell_angle_beta 90.00
_cell_angle_gamma 90.00
loop_
_atom_site_label
_atom_site_fract_x
_atom_site_fract_y
_atom_site_fract_z
Dy1 0.250 0.250 0.250
Ho1 0.000 0.000 0.000
Ho2 0.250 0.250 0.750
Er1 0.000 0.000 0.500
Sc1 0.000 0.000 0.250
Sc2 0.250 0.250 0.000
```

***

DyY3Er12 | PBE | relaxed

Cell and atoms, written as CIF:
```
data_DyY3Er12
_chemical_formula_sum 'Dy1 Y3 Er12'
_symmetry_space_group_name_H-M 'P 4/m m m'
_symmetry_Int_Tables_number 123
_symmetry_space_group_name_Hall '-P 4 2'
_cell_length_a 4.980
_cell_length_b 4.980
_cell_length_c 19.919
_cell_angle_alpha 90.00
_cell_angle_beta 90.00
_cell_angle_gamma 90.00
loop_
_atom_site_label
_atom_site_fract_x
_atom_site_fract_y
_atom_site_fract_z
Dy1 0.000 0.000 0.000
Y1 0.000 0.000 0.250
Y2 0.000 0.000 0.500
Er1 0.000 0.500 0.124
Er2 0.000 0.500 0.375
Er3 0.500 0.500 0.000
Er4 0.500 0.500 0.250
Er5 0.500 0.500 0.500
```

***

Rb2TaCdCl6 | PBE | relaxed

Cell and atoms, written as CIF:
```
data_Rb2TaCdCl6
_chemical_formula_sum 'Rb8 Ta4 Cd4 Cl24'
_symmetry_space_group_name_H-M 'F m -3 m'
_symmetry_Int_Tables_number 225
_symmetry_space_group_name_Hall '-F 4 2 3'
_cell_length_a 11.405
_cell_length_b 11.405
_cell_length_c 11.405
_cell_angle_alpha 90.00
_cell_angle_beta 90.00
_cell_angle_gamma 90.00
loop_
_atom_site_label
_atom_site_fract_x
_atom_site_fract_y
_atom_site_fract_z
Rb1 0.250 0.250 0.250
Ta1 0.000 0.000 0.000
Cd1 0.000 0.000 0.500
Cl1 0.000 0.000 0.213
```

Results
**Formation energy without anion corrections**: -1.31 eV per atom

***

Hf2Bi2As | PBE | relaxed

Cell and atoms, written as CIF:
```
data_Hf2Bi2As
_chemical_formula_sum 'Hf4 Bi4 As2'
_symmetry_space_group_name_H-M 'P 4/m b m'
_symmetry_Int_Tables_number 127
_symmetry_space_group_name_Hall '-P 4 2ab'
_cell_length_a 7.495
_cell_length_b 7.495
_cell_length_c 4.290
_cell_angle_alpha 90.00
_cell_angle_beta 90.00
_cell_angle_gamma 90.00
loop_
_atom_site_label
_atom_site_fract_x
_atom_site_fract_y
_atom_site_fract_z
Hf1 0.154 0.346 0.000
Bi1 0.151 0.651 0.500
As1 0.000 0.000 0.000
```

***

ZrNpAgO6 | PBE | relaxed

Cell and atoms, written as CIF:
```
data_ZrNpAgO6
_chemical_formula_sum 'Zr2 Np2 Ag2 O12'
_symmetry_space_group_name_H-M 'P -3 1 c'
_symmetry_Int_Tables_number 163
_symmetry_space_group_name_Hall '-P 3 2c'
_cell_length_a 5.6565
_cell_length_b 5.6565
_cell_length_c 9.8277
_cell_angle_alpha 90.00
_cell_angle_beta 90.00
_cell_angle_gamma 120.00
loop_
_atom_site_label
_atom_site_fract_x
_atom_site_fract_y
_atom_site_fract_z
Zr1 0.3333 0.6667 0.2500
Np1 0.3333 0.6667 0.7500
Ag1 0.0000 0.0000 0.0000
O1 0.0121 0.3780 0.6414
```

Results
**Formation energy without anion corrections**: -2.30 eV per atom

***

YTa2Au | PBE | relaxed

Cell and atoms, written as CIF:
```
data_YTa2Au
_chemical_formula_sum 'Y3 Ta6 Au3'
_symmetry_space_group_name_H-M 'R 3 m'
_symmetry_Int_Tables_number 160
_symmetry_space_group_name_Hall 'R 3 -2"'
_cell_length_a 3.2454
_cell_length_b 3.2454
_cell_length_c 28.0557
_cell_angle_alpha 90.00
_cell_angle_beta 90.00
_cell_angle_gamma 120.00
loop_
_atom_site_label
_atom_site_fract_x
_atom_site_fract_y
_atom_site_fract_z
Y1 0.0000 0.0000 0.0000
Ta1 0.0000 0.0000 0.5010
Ta2 0.0000 0.0000 0.7612
Au1 0.0000 0.0000 0.2447
```

Results
**Relative energy among the computed polymorphs**: 0.232 eV per atom

***

SbHPb3 | PBE | relaxed

Cell and atoms, written as CIF:
```
data_SbHPb3
_chemical_formula_sum 'Sb1 H1 Pb3'
_symmetry_space_group_name_H-M 'P m -3 m'
_symmetry_Int_Tables_number 221
_symmetry_space_group_name_Hall '-P 4 2 3'
_cell_length_a 5.031
_cell_length_b 5.031
_cell_length_c 5.031
_cell_angle_alpha 90.00
_cell_angle_beta 90.00
_cell_angle_gamma 90.00
loop_
_atom_site_label
_atom_site_fract_x
_atom_site_fract_y
_atom_site_fract_z
Sb1 0.000 0.000 0.000
H1 0.500 0.500 0.500
Pb1 0.000 0.500 0.500
```

***

Number 1: raw total energy -6.632 eV/atom. Number 2: raw total energy -5.377 eV/atom. Number 3: raw total energy -4.236 eV/atom. Number 4: raw total energy -7.966 eV/atom. Number 5: raw total energy -5.005 eV/atom. Number 6: raw total energy -4.898 eV/atom. Number 7: raw total energy -3.885 eV/atom. Number 8: raw total energy -6.638 eV/atom. Number 9: raw total energy -8.313 eV/atom. Number 10: raw total energy -8.173 eV/atom. Number 11: raw total energy -3.492 eV/atom.